DFT (PBE) results for a relaxed structure of LiPmGe2Pt2.

Computed properties:
DFT total energy in eV per atom: -5.5471
Volume in Å³/atom: 18.4

Cell lengths 4.3630, 4.3630, 6.6815 Å; angles 90.00, 90.00, 120.00 degrees
Element x y z (fractional)
Pm: 0.0000 0.0000 0.0000
Ge: 0.3333 0.6667 0.3013
Ge: 0.6667 0.3333 0.6987
Pt: 0.3333 0.6667 0.7022
Pt: 0.6667 0.3333 0.2978
Li: 0.0000 0.0000 0.5000

***

DFT (PBE) results for a relaxed structure of Tl2CoHRh.

Computed properties:
DFT total energy in eV per atom: -3.6444
Volume in Å³/atom: 25.8

Cell lengths 5.2739, 4.6347, 5.2739 Å; angles 90.00, 90.00, 90.00 degrees
Element x y z (fractional)
Tl: 0.5000 0.0000 0.0000
Tl: 0.0000 0.0000 0.5000
H: 0.5000 0.5000 0.5000
Co: 0.0000 0.5000 0.0000
Rh: 0.0000 0.0000 0.0000

***

DFT (PBE) results for a relaxed structure of GeB3C.

Computed properties:
ΔE to the lowest computed polymorph in eV/atom: 1.271
DFT total energy in eV per atom: -3.7099
Volume in Å³/atom: 13.5

Cell lengths 4.0702, 4.0702, 4.0702 Å; angles 90.00, 90.00, 90.00 degrees
Element x y z (fractional)
B: 0.0000 0.0000 0.5000
B: 0.5000 0.0000 0.0000
B: 0.0000 0.5000 0.0000
Ge: 0.0000 0.0000 0.0000
C: 0.5000 0.5000 0.5000

***

DFT (PBE) results for a relaxed structure of LiYGa2Pt2.

Computed properties:
DFT total energy in eV per atom: -5.3414
Volume in Å³/atom: 17.9

Cell lengths 4.3747, 4.3747, 6.4671 Å; angles 90.00, 90.00, 120.00 degrees
Element x y z (fractional)
Pt: 0.6667 0.3333 0.2766
Pt: 0.3333 0.6667 0.7234
Ga: 0.6667 0.3333 0.6869
Ga: 0.3333 0.6667 0.3131
Li: 0.0000 0.0000 0.5000
Y: 0.0000 0.0000 0.0000

***

DFT (PBE) results for a relaxed structure of U2Tl3Te6Pd.

Computed properties:
E_form (uncorrected) in eV per atom: -0.43
DFT total energy in eV per atom: -4.9018
Volume in Å³/atom: 32.9

Cell lengths 7.3998, 7.3998, 8.6998 Å; angles 97.97, 97.97, 120.43 degrees
Element x y z (fractional)
U: 0.6655 0.3345 0.0000
U: 0.3345 0.6655 0.0000
Te: 0.6067 0.9322 0.7914
Te: 0.7498 0.7498 0.2084
Te: 0.2502 0.2502 0.7916
Te: 0.0678 0.3933 0.2086
Te: 0.3933 0.0678 0.2086
Te: 0.9322 0.6067 0.7914
Pd: 0.0000 0.0000 0.0000
Tl: 0.5000 0.5000 0.5000
Tl: 0.8268 0.1732 0.5000
Tl: 0.1732 0.8268 0.5000

***

DFT (PBE) results for a relaxed structure of La5NdSm6.

Computed properties:
DFT total energy in eV per atom: -4.7987
Volume in Å³/atom: 35.2

Cell lengths 12.1040, 6.3924, 6.4000 Å; angles 60.04, 84.94, 79.82 degrees
Element x y z (fractional)
Sm: 0.7506 0.7499 0.0000
Sm: 0.7504 0.0827 0.3327
Sm: 0.2494 0.2501 0.0000
Sm: 0.7504 0.4153 0.6673
Sm: 0.2496 0.5847 0.3327
Sm: 0.2496 0.9173 0.6673
La: 0.0000 0.3333 0.3334
La: 0.5000 0.1662 0.6676
La: 0.5000 0.8338 0.3324
La: 0.0000 0.6667 0.6666
La: 0.5000 0.5000 0.0000
Nd: 0.0000 0.0000 0.0000

***

> The highest DFT total energy belongs to which entry?

Tl2CoHRh

***

> The highest volume belongs to which entry?

La5NdSm6

***

> volume of number 2 (Tl2CoHRh)?

25.8 Å³/atom

***

> Number 5 is which compound?

U2Tl3Te6Pd